[1]
! CaSbPO2 | the Alexandria database | PBE | relaxed; values from VASP
&SYSTEM
  ibrav = 0, nat = 5, ntyp = 4
/
ATOMIC_SPECIES
Ca 40.08 Ca.upf
Sb 121.76 Sb.upf
P 30.97 P.upf
O 16.00 O.upf
CELL_PARAMETERS angstrom
4.240 0.000 0.000
0.000 4.240 0.000
0.000 0.000 5.703
ATOMIC_POSITIONS angstrom
Ca 0.000 0.000 0.000
Sb 2.120 2.120 2.851
P 0.000 0.000 2.851
O 0.000 2.120 0.000
O 2.120 0.000 0.000
! Excess energy over the best structure of this formula in the dataset: 397.4 kJ/mol of formula units
! Total energy: -4.49 eV per atom
! Formation energy (no corrections): -0.197 eV/atom
! SG: P4/mmm, No. 123
! M_tot: 0.376 μB per atom



[2]
! CaSb2P2O10 | the Alexandria database | PBE | relaxed; values from VASP
&SYSTEM
  ibrav = 0, nat = 30, ntyp = 4
/
ATOMIC_SPECIES
Ca 40.08 Ca.upf
Sb 121.76 Sb.upf
P 30.97 P.upf
O 16.00 O.upf
CELL_PARAMETERS angstrom
0.000 6.256 8.220
3.902 0.000 8.220
3.902 6.256 0.000
ATOMIC_POSITIONS angstrom
Ca 0.975 1.564 2.055
Ca 6.828 10.948 14.385
Sb 3.902 3.128 4.110
Sb 1.951 6.256 4.110
Sb 1.951 3.128 8.220
Sb 3.902 6.256 8.220
P 2.926 4.692 1.243
P 4.877 7.820 5.353
P 2.926 4.692 11.087
P 4.877 7.820 15.197
O 2.712 3.436 2.145
O 2.183 1.727 4.387
O 3.669 1.727 7.943
O 5.620 4.855 8.497
O 3.141 5.948 2.145
O 5.092 6.564 6.255
O 2.926 4.692 4.799
O 3.669 7.657 4.387
O 2.926 4.692 7.531
O 3.141 3.436 10.185
O 4.663 9.076 6.255
O 4.877 7.820 8.909
O 4.134 4.855 12.053
O 4.877 7.820 11.641
O 2.712 5.948 10.185
O 4.663 6.564 14.295
O 2.183 7.657 7.943
O 4.134 10.785 8.497
O 5.620 10.785 12.053
O 5.092 9.076 14.295
! Total energy: -6.68 eV per atom
! Formation energy (no corrections): -1.965 eV/atom
! SG: Fddd, No. 70
! M_tot: 0.000 μB per atom